First-principles (SCAN) data for a crystal of ScAuF3 relaxed with PBEsol, as listed in Alexandria.

```
5
Lattice="4.4164 0.0000 0.0000 0.0000 4.4164 0.0000 0.0000 0.0000 4.4164" Properties=species:S:1:pos:R:3 pbc="T T T"
Au 0.0000 0.0000 0.0000
F 2.2082 0.0000 0.0000
F 0.0000 2.2082 0.0000
F 0.0000 0.0000 2.2082
Sc 2.2082 2.2082 2.2082
```

Calculated values
M_tot	1.289	μB/f.u.
density	5.8	g/cm3
uncorrected formation energy	-1065	meV/atom